Material: TlTc2Te
Method: DFT, PBE
State: relaxed

extended XYZ file:
```
4
Lattice="-1.602 2.735 4.451 1.602 -2.735 4.451 1.602 2.735 -4.451" Properties=species:S:1:pos:R:3 pbc="T T T"
Tl 0.000 0.000 0.000
Tc 1.602 0.000 2.393
Tc 0.000 2.735 2.058
Te 0.000 0.000 4.451
```

Summary:
Its energy above the most stable polymorph in this dataset is 502 meV per atom. The energy relative to the elements, uncorrected is 0.82 eV/atom. Its space-group type is Immm (71). As for the crystal system: orthorhombic.